(1)
Here is an optimized crystal structure of V4ReMo5 from Alexandria. Energies are from PBE. Values from VASP.

Output
The calculated formation energy is -12.79 kJ per mole of atoms. The electronic total energy is -10.440 eV/atom. The space group is P4/mmm, No. 123.

Quantum ESPRESSO input file:
```
&SYSTEM
  ibrav = 0, nat = 10, ntyp = 3
/
ATOMIC_SPECIES
Mo 95.94 Mo.upf
V 50.94 V.upf
Re 186.21 Re.upf
ATOMIC_POSITIONS crystal
Mo 0.500 0.500 0.699
Mo 0.500 0.500 0.103
Mo 0.500 0.500 0.301
Mo 0.500 0.500 0.500
Mo 0.500 0.500 0.897
V 0.000 0.000 0.599
V 0.000 0.000 0.797
V 0.000 0.000 0.203
V 0.000 0.000 0.401
Re 0.000 0.000 0.000
CELL_PARAMETERS angstrom
-2.004 -1.624 1.695
2.345 -1.290 1.538
-0.503 11.451 10.373
```

=====

(2)
Here is an optimized crystal structure of V7Re2Mo2 from Alexandria. Energies are from PBE. Values from VASP.

Output
The calculated formation energy is 18.94 kJ per mole of atoms. The electronic total energy is -9.839 eV/atom. The space group is C2/m, No. 12.

Quantum ESPRESSO input file:
```
&SYSTEM
  ibrav = 0, nat = 11, ntyp = 3
/
ATOMIC_SPECIES
V 50.94 V.upf
Re 186.21 Re.upf
Mo 95.94 Mo.upf
ATOMIC_POSITIONS crystal
V 0.365 0.326 0.000
V 0.635 0.674 0.000
V 0.829 0.927 0.487
V 0.829 0.414 0.513
V 0.171 0.073 0.513
V 0.171 0.586 0.487
V 0.000 0.000 0.000
Re 0.500 0.154 0.692
Re 0.500 0.846 0.308
Mo 0.137 0.675 0.000
Mo 0.863 0.325 0.000
CELL_PARAMETERS angstrom
-4.409 0.513 -2.241
-6.100 -6.557 -1.974
-4.989 -2.666 2.967
```

=====

(3)
Here is an optimized crystal structure of V6ReMo3 from Alexandria. Energies are from PBE. Values from VASP.

Output
The calculated formation energy is 16.51 kJ per mole of atoms. The electronic total energy is -9.794 eV/atom. The space group is P2_1/m, No. 11. For the polymorph energy (0 for the lowest one), the calculation gives 346.4 meV/atom.

Quantum ESPRESSO input file:
```
&SYSTEM
  ibrav = 0, nat = 20, ntyp = 3
/
ATOMIC_SPECIES
V 50.94 V.upf
Re 186.21 Re.upf
Mo 95.94 Mo.upf
ATOMIC_POSITIONS crystal
V 0.750 0.108 0.481
V 0.750 0.788 0.062
V 0.250 0.892 0.519
V 0.250 0.514 0.323
V 0.250 0.633 0.860
V 0.750 0.744 0.305
V 0.250 0.212 0.938
V 0.250 0.256 0.695
V 0.250 0.223 0.286
V 0.750 0.367 0.140
V 0.750 0.486 0.677
V 0.750 0.777 0.714
Re 0.250 0.941 0.269
Re 0.750 0.059 0.731
Mo 0.250 0.925 0.899
Mo 0.750 0.636 0.506
Mo 0.250 0.364 0.494
Mo 0.750 0.419 0.899
Mo 0.250 0.581 0.101
Mo 0.750 0.075 0.101
CELL_PARAMETERS angstrom
-2.117 0.501 2.041
-2.311 -8.821 -0.230
8.276 2.210 8.039
```

=====

(4)
Here is an optimized crystal structure of V3Re2Mo4 from Alexandria. Energies are from PBE. Values from VASP.

Output
The calculated formation energy is -16.37 kJ per mole of atoms. The electronic total energy is -10.789 eV/atom. The space group is P-3m1, No. 164.

Quantum ESPRESSO input file:
```
&SYSTEM
  ibrav = 0, nat = 9, ntyp = 3
/
ATOMIC_SPECIES
V 50.94 V.upf
Re 186.21 Re.upf
Mo 95.94 Mo.upf
ATOMIC_POSITIONS crystal
V 0.000 0.000 0.000
V 0.667 0.667 0.553
V 0.333 0.333 0.447
Re 0.333 0.333 0.774
Re 0.667 0.667 0.226
Mo 0.000 0.000 0.665
Mo 0.000 0.000 0.335
Mo 0.333 0.333 0.111
Mo 0.667 0.667 0.889
CELL_PARAMETERS angstrom
4.386 0.000 0.001
2.193 3.796 0.139
-0.001 -0.293 8.017
```

=====

(5)
Here is an optimized crystal structure of V2Re3Mo6 from Alexandria. Energies are from PBE. Values from VASP.

Output
The calculated formation energy is 37.81 kJ per mole of atoms. The electronic total energy is -10.569 eV/atom. The space group is Immm, No. 71.

Quantum ESPRESSO input file:
```
&SYSTEM
  ibrav = 0, nat = 22, ntyp = 3
/
ATOMIC_SPECIES
V 50.94 V.upf
Mo 95.94 Mo.upf
Re 186.21 Re.upf
ATOMIC_POSITIONS crystal
V 0.500 0.239 0.000
V 0.000 0.739 0.500
V 0.500 0.761 0.000
V 0.000 0.261 0.500
Mo 0.259 0.500 0.331
Mo 0.741 0.500 0.669
Mo 0.775 0.500 0.000
Mo 0.759 0.000 0.831
Mo 0.275 0.000 0.500
Mo 0.725 0.000 0.500
Mo 0.259 0.500 0.669
Mo 0.759 0.000 0.169
Mo 0.241 0.000 0.169
Mo 0.741 0.500 0.331
Mo 0.241 0.000 0.831
Mo 0.225 0.500 0.000
Re 0.500 0.000 0.690
Re 0.500 0.000 0.310
Re 0.000 0.500 0.810
Re 0.000 0.500 0.190
Re 0.000 0.000 0.000
Re 0.500 0.500 0.500
CELL_PARAMETERS angstrom
8.985 0.000 0.000
0.000 4.534 0.000
0.000 0.000 8.766
```

=====

(6)
Here is an optimized crystal structure of V3Re2Mo from Alexandria. Energies are from PBE. Values from VASP.

Output
The calculated formation energy is -28.45 kJ per mole of atoms. The electronic total energy is -10.809 eV/atom. The space group is P4/mmm, No. 123. For the polymorph energy (0 for the lowest one), the calculation gives 9.3 meV/atom.

Quantum ESPRESSO input file:
```
&SYSTEM
  ibrav = 0, nat = 6, ntyp = 3
/
ATOMIC_SPECIES
V 50.94 V.upf
Mo 95.94 Mo.upf
Re 186.21 Re.upf
ATOMIC_POSITIONS crystal
V 0.000 0.000 0.668
V 0.000 0.000 0.332
V 0.000 0.000 0.000
Mo 0.500 0.500 0.500
Re 0.500 0.500 0.834
Re 0.500 0.500 0.166
CELL_PARAMETERS angstrom
3.048 0.000 0.000
0.000 3.048 0.000
0.000 0.000 9.177
```

=====

(7)
Here is an optimized crystal structure of V3Re3Mo from Alexandria. Energies are from PBE. Values from VASP.

Output
The calculated formation energy is 13.44 kJ per mole of atoms. The electronic total energy is -10.651 eV/atom. The space group is Cmmm, No. 65.

Quantum ESPRESSO input file:
```
&SYSTEM
  ibrav = 0, nat = 14, ntyp = 3
/
ATOMIC_SPECIES
V 50.94 V.upf
Re 186.21 Re.upf
Mo 95.94 Mo.upf
ATOMIC_POSITIONS crystal
V 0.000 0.000 0.255
V 0.000 0.500 0.253
V 0.000 0.500 0.747
V 0.000 0.000 0.745
V 0.500 0.000 0.253
V 0.500 0.000 0.747
Re 0.251 0.251 0.500
Re 0.749 0.749 0.500
Re 0.765 0.235 0.000
Re 0.235 0.765 0.000
Re 0.733 0.267 0.500
Re 0.267 0.733 0.500
Mo 0.689 0.689 0.000
Mo 0.311 0.311 0.000
CELL_PARAMETERS angstrom
-2.035 -5.436 1.452
2.214 0.864 5.491
-5.160 2.387 1.704
```

=====

(8)
Here is an optimized crystal structure of VRe2Mo from Alexandria. Energies are from PBE. Values from VASP.

Output
The calculated formation energy is 73.31 kJ per mole of atoms. The electronic total energy is -10.452 eV/atom. The space group is I-42d, No. 122. For the polymorph energy (0 for the lowest one), the calculation gives 907.8 meV/atom.

Quantum ESPRESSO input file:
```
&SYSTEM
  ibrav = 0, nat = 8, ntyp = 3
/
ATOMIC_SPECIES
V 50.94 V.upf
Re 186.21 Re.upf
Mo 95.94 Mo.upf
ATOMIC_POSITIONS crystal
V 0.250 0.750 0.500
V 0.500 0.500 0.000
Re 0.131 0.625 0.250
Re 0.875 0.869 0.750
Re 0.619 0.125 0.250
Re 0.375 0.381 0.750
Mo 0.750 0.250 0.500
Mo 0.000 0.000 0.000
CELL_PARAMETERS angstrom
-5.002 -0.089 -4.936
-2.919 -5.614 3.059
-5.433 -1.288 0.526
```

=====

Total magnetic moment per entry: 0.00; 0.00; 0.00; 0.00; 0.00; 0.00; 0.00; 0.00 μB/atom